Crystalline Ca3Ac2PrTe6 at its relaxed geometry, computed with GGA-PBE.

Theoretical density: 5.988 g cm⁻³
VASP energy: -112.55 eV/cell
Fermi-level density of states: 9.98 states/eV per cell
ΔE_f (raw): -1.54 eV/atom

CIF file:
```
data_Ca3Ac2PrTe6
_symmetry_space_group_name_H-M 'C 1 2/m 1'
_symmetry_Int_Tables_number 12
_symmetry_space_group_name_Hall '-C 2y'
_cell_length_a 20.149
_cell_length_b 4.557
_cell_length_c 9.246
_cell_angle_alpha 90.00
_cell_angle_beta 104.70
_cell_angle_gamma 90.00
loop_
_atom_site_label
_atom_site_fract_x
_atom_site_fract_y
_atom_site_fract_z
_atom_site_occupancy
Ca1 0.000 0.000 0.000 1
Ca2 0.168 0.500 0.333 1
Ac1 0.163 0.500 0.825 1
Pr1 0.000 0.000 0.500 1
Te1 0.006 0.500 0.248 1
Te2 0.164 0.000 0.091 1
Te3 0.168 0.000 0.568 1
```